Record 1
The following is a DFT calculation (PBE) of crystalline Sm4HoCd2 at its relaxed geometry.

Cell: 9.302 9.302 9.302 Å, 34.81 34.81 34.81°
Sites, in units of the cell vectors:
Sm 0.130 0.130 0.130
Sm 0.264 0.264 0.264
Sm 0.736 0.736 0.736
Sm 0.870 0.870 0.870
Ho 0.500 0.500 0.500
Cd 0.384 0.384 0.384
Cd 0.616 0.616 0.616

Properties
**ΔE_f**: 0.11 eV/atom
**Calculated total energy**: -3.501 eV/atom
**D(E_F)**: 9.89 states/eV per cell

Record 2
The following is a DFT calculation (PBE) of crystalline SmHo2Cd2 at its relaxed geometry.

Cell: 5.219 5.219 6.361 Å, 90.00 90.00 120.00°
Sites, in units of the cell vectors:
Sm 0.000 0.000 0.000
Ho 0.333 0.667 0.649
Ho 0.667 0.333 0.351
Cd 0.333 0.667 0.159
Cd 0.667 0.333 0.841

Properties
**ΔE_f**: -0.06 eV/atom
**Calculated total energy**: -3.199 eV/atom
**D(E_F)**: 6.57 states/eV per cell

Record 3
The following is a DFT calculation (PBE) of crystalline Sm2Ho3Cd6 at its relaxed geometry.

Cell: 14.322 14.322 14.322 Å, 159.90 159.90 28.58°
Sites, in units of the cell vectors:
Sm 0.135 0.135 0.000
Sm 0.865 0.865 0.000
Ho 0.366 0.366 0.000
Ho 0.500 0.500 0.000
Ho 0.634 0.634 0.000
Cd 0.064 0.564 0.500
Cd 0.252 0.252 0.000
Cd 0.436 0.936 0.500
Cd 0.564 0.064 0.500
Cd 0.748 0.748 0.000
Cd 0.936 0.436 0.500

Properties
**ΔE_f**: 0.10 eV/atom
**Calculated total energy**: -2.507 eV/atom
**D(E_F)**: 9.18 states/eV per cell

Record 4
The following is a DFT calculation (PBE) of crystalline Sm2Ho3Cd3 at its relaxed geometry.

Cell: 11.630 11.630 11.630 Å, 161.40 153.52 32.56°
Sites, in units of the cell vectors:
Sm 0.232 0.232 0.000
Sm 0.768 0.768 0.000
Ho 0.000 0.000 0.000
Ho 0.379 0.879 0.500
Ho 0.621 0.121 0.500
Cd 0.114 0.614 0.500
Cd 0.500 0.500 0.000
Cd 0.886 0.386 0.500

Properties
**ΔE_f**: -0.23 eV/atom
**Calculated total energy**: -3.468 eV/atom
**D(E_F)**: 8.28 states/eV per cell

Look up the calculated total energy of the second one.
-3.199 eV/atom